A relaxed ZnBSe2Br crystal. Source: Alexandria, functional PBE.

Output
Formation energy from raw total energies: 0.630 eV/atom
Total magnetic moment: 0.0000 μB per atom
E: -2.689 eV/atom
Fermi-level density of states: 3.08 states/eV/f.u.

a = 4.5821 Å, b = 4.5821 Å, c = 4.5820 Å
α = 90.00°, β = 90.00°, γ = 90.00°
Closest atoms and distances in Å follow each position.
Space group P4/mmm (No. 123)
Inequivalent atoms, fractional coordinates:
Zn: 0.0000 0.0000 0.0000 x1  8 Se 3.24, 4 Br 3.24
B: 0.5000 0.5000 0.5000 x1  2 Br 2.29, 4 Se 2.29
Se: 0.0000 0.5000 0.5000 x2  2 B 2.29
Br: 0.5000 0.5000 0.0000 x1  2 B 2.29

***

A relaxed Cs3ScI6 crystal. Source: Alexandria, functional PBE.

Output
Formation energy from raw total energies: -1.435 eV/atom
Total magnetic moment: 0.0000 μB per atom
E: -3.254 eV/atom
Fermi-level density of states: 0.00 states/eV/f.u.

a = 8.8881 Å, b = 9.4304 Å, c = 15.4387 Å
α = 90.00°, β = 124.55°, γ = 90.00°
Closest atoms and distances in Å follow each position.
Space group P2_1/c (No. 14)
Inequivalent atoms, fractional coordinates:
Cs: 0.0000 0.0000 0.0000 x2  6 I 3.79-3.87
Cs: 0.2196 0.0755 0.7487 x4  6 I 3.88-4.11
Sc: 0.5000 0.0000 0.5000 x2  6 I 2.91-2.93
I: 0.1857 0.1678 0.4524 x4  1 Sc 2.92
I: 0.2800 0.7403 0.4376 x4  1 Sc 2.93
I: 0.3953 0.0373 0.2855 x4  1 Sc 2.91

***

A relaxed Tm5ZnAg4 crystal. Source: Alexandria, functional PBE.

Output
Total magnetic moment: 0.0000 μB per atom
E: -3.850 eV/atom
Fermi-level density of states: 4.87 states/eV/f.u.
DFT formation energy: -0.347 eV/atom

a = 3.5549 Å, b = 3.5549 Å, c = 18.0088 Å
α = 90.00°, β = 90.00°, γ = 90.00°
Closest atoms and distances in Å follow each position.
Space group P4/mmm (No. 123)
Inequivalent atoms, fractional coordinates:
Tm: 0.0000 0.0000 0.0000 x1  8 Ag 3.10
Tm: 0.0000 0.0000 0.2025 x2  8 Ag 3.11
Tm: 0.0000 0.0000 0.4040 x2  4 Zn 3.05, 4 Ag 3.10
Zn: 0.5000 0.5000 0.5000 x1  8 Tm 3.05
Ag: 0.5000 0.5000 0.1008 x2  8 Tm 3.10-3.11
Ag: 0.5000 0.5000 0.3037 x2  8 Tm 3.10-3.11

***

A relaxed MgRe2Mo crystal. Source: Alexandria, functional PBE.

Output
Total magnetic moment: 0.0000 μB per atom
E: -9.149 eV/atom
Fermi-level density of states: 2.48 states/eV/f.u.
DFT formation energy: 0.182 eV/atom

a = 2.6839 Å, b = 4.4603 Å, c = 5.2650 Å
α = 90.00°, β = 99.58°, γ = 90.00°
Closest atoms and distances in Å follow each position.
Space group P2/m (No. 10)
Inequivalent atoms, fractional coordinates:
Mg: 0.0000 0.0000 0.0000 x1  2 Mg 2.68, 4 Re 2.75, 2 Mo 2.75
Re: 0.2876 0.5000 0.7570 x2  4 Re 2.62-2.88, 2 Mo 2.72, 2 Mg 2.75
Mo: 0.5000 0.0000 0.5000 x1  2 Mo 2.68, 4 Re 2.72, 2 Mg 2.75

***

A relaxed Ba2TlRe crystal. Source: Alexandria, functional PBE.

Output
Total magnetic moment: 0.4928 μB per atom
E: -3.846 eV/atom
Fermi-level density of states: 12.25 states/eV/f.u.
DFT formation energy: 0.819 eV/atom

a = 8.0957 Å, b = 8.0957 Å, c = 8.0957 Å
α = 90.00°, β = 90.00°, γ = 90.00°
Closest atoms and distances in Å follow each position.
Space group Fm-3m (No. 225)
Inequivalent atoms, fractional coordinates:
Ba: 0.2500 0.2500 0.2500 x8  4 Tl 3.51, 4 Re 3.51
Tl: 0.0000 0.0000 0.0000 x4  8 Ba 3.51
Re: 0.0000 0.0000 0.5000 x4  8 Ba 3.51

***

A relaxed AgAsBr2 crystal. Source: Alexandria, functional PBE.

Output
Formation energy from raw total energies: 0.197 eV/atom
Total magnetic moment: 0.2438 μB per atom
E: -2.514 eV/atom
Fermi-level density of states: 1.48 states/eV/f.u.

a = 3.6521 Å, b = 4.2333 Å, c = 7.4185 Å
α = 90.00°, β = 90.00°, γ = 90.00°
Closest atoms and distances in Å follow each position.
Space group Pmmm (No. 47)
Inequivalent atoms, fractional coordinates:
Ag: 0.0000 0.0000 0.0000 x1  4 Br 2.80
As: 0.5000 0.0000 0.5000 x1  4 Br 2.80
Br: 0.0000 0.5000 0.5000 x1  4 As 2.80
Br: 0.5000 0.5000 0.0000 x1  4 Ag 2.80

***

A relaxed Rb2CdCl crystal. Source: Alexandria, functional PBE.

Output
Formation energy from raw total energies: -0.866 eV/atom
Total magnetic moment: 0.0129 μB per atom
E: -2.041 eV/atom
Fermi-level density of states: 2.36 states/eV/f.u.

a = 4.5800 Å, b = 4.5800 Å, c = 29.5541 Å
α = 90.00°, β = 90.00°, γ = 120.00°
Closest atoms and distances in Å follow each position.
Space group R3m (No. 160, hexagonal axes)
Inequivalent atoms, fractional coordinates:
Rb: 0.0000 0.0000 0.0000 x3  3 Cl 3.33
Rb: 0.0000 0.0000 0.1965 x3  3 Cl 3.33
Cd: 0.0000 0.0000 0.7653 x3  6 Rb 3.92-3.94
Cl: 0.0000 0.0000 0.5983 x3  6 Rb 3.33

***

A relaxed HfMn3Pb crystal. Source: Alexandria, functional PBE.

Output
Total magnetic moment: 1.8830 μB per atom
E: -6.821 eV/atom
Fermi-level density of states: 7.91 states/eV/f.u.
DFT formation energy: 1.413 eV/atom

a = 4.9298 Å, b = 4.9298 Å, c = 4.9298 Å
α = 90.00°, β = 90.00°, γ = 90.00°
Closest atoms and distances in Å follow each position.
Space group Pm-3m (No. 221)
Inequivalent atoms, fractional coordinates:
Hf: 0.0000 0.0000 0.0000 x1  12 Mn 3.49
Mn: 0.0000 0.5000 0.5000 x3  2 Pb 2.46
Pb: 0.5000 0.5000 0.5000 x1  6 Mn 2.46